# 1
# DyErCo2B2P2, optimized geometry, DFT PBE
data_DyErCo2B2P2
_space_group_name_H-M_alt 'P 4 m m'
_space_group_IT_number 99
_space_group_name_Hall 'P 4 -2'
_cell_length_a 3.771
_cell_length_b 3.771
_cell_length_c 8.111
_cell_angle_alpha 90.00
_cell_angle_beta 90.00
_cell_angle_gamma 90.00
loop_
_atom_site_label
_atom_site_type_symbol
_atom_site_fract_x
_atom_site_fract_y
_atom_site_fract_z
Dy1 Dy 0.000 0.000 0.000
Er1 Er 0.500 0.500 0.419
Co1 Co 0.000 0.500 0.709
B1 B 0.000 0.000 0.606
B2 B 0.500 0.500 0.814
P1 P 0.000 0.000 0.360
P2 P 0.500 0.500 0.062
# **Energy**: -6.693 eV per atom
# **Total magnetization**: 0.0 μB per formula unit

***

# 2
# DyFeCoB2, optimized geometry, DFT PBE
data_DyFeCoB2
_space_group_name_H-M_alt 'I -4 m 2'
_space_group_IT_number 119
_space_group_name_Hall 'I -4 -2'
_cell_length_a 3.609
_cell_length_b 3.609
_cell_length_c 9.256
_cell_angle_alpha 90.00
_cell_angle_beta 90.00
_cell_angle_gamma 90.00
loop_
_atom_site_label
_atom_site_type_symbol
_atom_site_fract_x
_atom_site_fract_y
_atom_site_fract_z
Dy1 Dy 0.000 0.000 0.000
Fe1 Fe 0.000 0.500 0.750
Co1 Co 0.000 0.500 0.250
B1 B 0.000 0.000 0.340
# **Energy**: -7.191 eV per atom
# **Total magnetization**: 0.0 μB per formula unit

***

# 3
# Dy2Fe6Co8B, optimized geometry, DFT PBE
data_Dy2Fe6Co8B
_space_group_name_H-M_alt 'P 42/m n m'
_space_group_IT_number 136
_space_group_name_Hall '-P 4n 2n'
_cell_length_a 8.660
_cell_length_b 8.660
_cell_length_c 11.608
_cell_angle_alpha 90.00
_cell_angle_beta 90.00
_cell_angle_gamma 90.00
loop_
_atom_site_label
_atom_site_type_symbol
_atom_site_fract_x
_atom_site_fract_y
_atom_site_fract_z
Dy1 Dy 0.145 0.145 0.000
Dy2 Dy 0.231 0.231 0.500
Fe1 Fe 0.000 0.000 0.382
Fe2 Fe 0.000 0.500 0.000
Fe3 Fe 0.066 0.724 0.372
Co1 Co 0.035 0.642 0.177
Co2 Co 0.099 0.901 0.202
Co3 Co 0.183 0.183 0.252
B1 B 0.124 0.876 0.500
# **Energy**: -7.368 eV per atom
# **Total magnetization**: 23.8 μB per formula unit

***

# 4
# Gd2DyCo2B2N3, optimized geometry, DFT PBE
data_Gd2DyCo2B2N3
_space_group_name_H-M_alt 'I 4/m m m'
_space_group_IT_number 139
_space_group_name_Hall '-I 4 2'
_cell_length_a 3.495
_cell_length_b 3.495
_cell_length_c 19.906
_cell_angle_alpha 90.00
_cell_angle_beta 90.00
_cell_angle_gamma 90.00
loop_
_atom_site_label
_atom_site_type_symbol
_atom_site_fract_x
_atom_site_fract_y
_atom_site_fract_z
Gd1 Gd 0.000 0.000 0.124
Dy1 Dy 0.000 0.000 0.500
Co1 Co 0.000 0.500 0.250
B1 B 0.000 0.000 0.306
N1 N 0.000 0.000 0.000
N2 N 0.000 0.000 0.382
# **Energy**: -7.840 eV per atom
# **Total magnetization**: 0.0 μB per formula unit

***

# 5
# DyCo2GeB, optimized geometry, DFT PBE
data_DyCo2GeB
_space_group_name_H-M_alt 'I 4 m m'
_space_group_IT_number 107
_space_group_name_Hall 'I 4 -2'
_cell_length_a 3.744
_cell_length_b 3.744
_cell_length_c 9.655
_cell_angle_alpha 90.00
_cell_angle_beta 90.00
_cell_angle_gamma 90.00
loop_
_atom_site_label
_atom_site_type_symbol
_atom_site_fract_x
_atom_site_fract_y
_atom_site_fract_z
Dy1 Dy 0.000 0.000 0.000
Co1 Co 0.000 0.500 0.223
Ge1 Ge 0.000 0.000 0.368
B1 B 0.000 0.000 0.632
# **Energy**: -6.562 eV per atom
# **Total magnetization**: 0.0 μB per formula unit

***

# 6
# DyHo2Co2B2N3, optimized geometry, DFT PBE
data_DyHo2Co2B2N3
_space_group_name_H-M_alt 'I 4/m m m'
_space_group_IT_number 139
_space_group_name_Hall '-I 4 2'
_cell_length_a 3.458
_cell_length_b 3.458
_cell_length_c 19.817
_cell_angle_alpha 90.00
_cell_angle_beta 90.00
_cell_angle_gamma 90.00
loop_
_atom_site_label
_atom_site_type_symbol
_atom_site_fract_x
_atom_site_fract_y
_atom_site_fract_z
Dy1 Dy 0.000 0.000 0.000
Ho1 Ho 0.000 0.000 0.376
Co1 Co 0.000 0.500 0.250
B1 B 0.000 0.000 0.194
N1 N 0.000 0.000 0.118
N2 N 0.000 0.000 0.500
# **Energy**: -7.863 eV per atom
# **Total magnetization**: 0.0 μB per formula unit

***

# 7
# Dy2HoCo2B2N3, optimized geometry, DFT PBE
data_Dy2HoCo2B2N3
_space_group_name_H-M_alt 'I 4/m m m'
_space_group_IT_number 139
_space_group_name_Hall '-I 4 2'
_cell_length_a 3.465
_cell_length_b 3.465
_cell_length_c 19.826
_cell_angle_alpha 90.00
_cell_angle_beta 90.00
_cell_angle_gamma 90.00
loop_
_atom_site_label
_atom_site_type_symbol
_atom_site_fract_x
_atom_site_fract_y
_atom_site_fract_z
Dy1 Dy 0.000 0.000 0.124
Ho1 Ho 0.000 0.000 0.500
Co1 Co 0.000 0.500 0.250
B1 B 0.000 0.000 0.306
N1 N 0.000 0.000 0.000
N2 N 0.000 0.000 0.382
# **Energy**: -7.863 eV per atom
# **Total magnetization**: 0.0 μB per formula unit